[1]
Tb2NdDyTm5, optimized geometry, DFT PBE-GGA; theoretical density = 8.54 g/cm³; total DFT energy (no corrections) = -4.271 eV/atom; volume = 31.75 A^3/atom; total magnetization = 0.0 Bohr magnetons per cell; energy of formation from the pure elements = 0.283 eV/atom
1.0
8.811 0.000 0.000
0.000 8.811 0.000
-4.406 -4.406 7.362
Tb Nd Dy Tm
4 2 2 10
direct
0.114 0.386 0.000
0.614 0.114 0.000
0.386 0.886 0.000
0.886 0.614 0.000
0.250 0.250 0.500
0.750 0.750 0.500
0.250 0.750 0.500
0.750 0.250 0.500
0.927 0.427 0.267
0.660 0.160 0.733
0.073 0.573 0.733
0.160 0.073 0.733
0.573 0.660 0.733
0.840 0.927 0.267
0.427 0.340 0.267
0.340 0.840 0.267
0.500 0.500 0.000
0.000 0.000 0.000

***

[2]
Sr4MgSb3O12, optimized geometry, DFT PBE-GGA; theoretical density = 5.64 g/cm³; E_form (uncorrected) = -2.1970 eV/atom; total DFT energy (no corrections) = -6.206 eV/atom; volume = 13.73 A^3/atom; total magnetization = 0.0 Bohr magnetons per cell
1.0
7.092 0.000 0.000
-2.364 6.686 0.000
-2.364 -3.343 5.791
Sr Mg Sb O
4 1 3 12
direct
0.500 0.500 0.500
0.000 0.000 0.500
0.500 0.000 0.000
0.000 0.500 0.000
0.000 0.000 0.000
0.500 0.000 0.500
0.500 0.500 0.000
0.000 0.500 0.500
0.250 0.500 0.750
0.743 0.000 0.743
0.257 0.000 0.257
0.750 0.500 0.250
0.743 0.743 0.000
0.257 0.257 0.000
0.750 0.250 0.500
0.250 0.750 0.500
0.500 0.250 0.750
0.000 0.743 0.743
0.500 0.750 0.250
0.000 0.257 0.257

***

[3]
Co5Pt6W, optimized geometry, DFT PBE-GGA; theoretical density = 16.50 g/cm³; total DFT energy (no corrections) = -7.194 eV/atom; volume = 13.83 A^3/atom; total magnetization = 9.2 Bohr magnetons per cell; energy of formation from the pure elements = -0.133 eV/atom
1.0
-0.788 2.645 -2.647
-6.820 -3.098 -1.065
-2.579 4.735 2.736
Co W Pt
5 1 6
direct
0.665 0.500 0.670
0.338 0.000 0.323
0.000 0.500 0.000
0.662 0.000 0.677
0.335 0.500 0.330
0.000 0.000 0.000
0.832 0.749 0.336
0.832 0.251 0.336
0.500 0.253 0.000
0.500 0.747 0.000
0.168 0.749 0.664
0.168 0.251 0.664

***

[4]
Sr4YHg5, optimized geometry, DFT PBE-GGA; theoretical density = 7.83 g/cm³; total DFT energy (no corrections) = -1.990 eV/atom; volume = 30.58 A^3/atom; total magnetization = 0.0 Bohr magnetons per cell; energy of formation from the pure elements = -0.520 eV/atom
1.0
-0.311 2.802 2.731
-3.906 -0.374 -0.061
1.097 -13.776 14.257
Sr Y Hg
4 1 5
direct
0.000 0.000 0.191
0.000 0.000 0.397
0.000 0.000 0.603
0.000 0.000 0.809
0.000 0.000 0.000
0.500 0.500 0.085
0.500 0.500 0.295
0.500 0.500 0.500
0.500 0.500 0.705
0.500 0.500 0.915

***

[5]
Pr8Er5In, optimized geometry, DFT PBE-GGA; theoretical density = 7.20 g/cm³; total DFT energy (no corrections) = -4.458 eV/atom; volume = 34.26 A^3/atom; total magnetization = 0.0 Bohr magnetons per cell; energy of formation from the pure elements = 0.099 eV/atom
1.0
-6.395 4.655 4.397
-0.917 -8.529 -2.382
7.710 -2.906 3.741
Pr Er In
8 5 1
direct
0.127 0.716 0.049
0.983 0.055 0.569
0.021 0.440 0.339
0.604 0.371 0.875
0.505 0.629 0.234
0.514 0.945 0.929
0.333 0.284 0.411
0.899 0.560 0.581
0.972 0.244 0.924
0.924 0.816 0.200
0.680 0.756 0.728
0.498 0.000 0.498
0.384 0.184 0.108
0.307 0.500 0.807

***

[6]
CePa2Hg, optimized geometry, DFT PBE-GGA; theoretical density = 13.25 g/cm³; total DFT energy (no corrections) = -6.043 eV/atom; volume = 25.16 A^3/atom; total magnetization = 0.0 Bohr magnetons per cell; excess energy over the best structure of this formula in the dataset = 0.57 eV per formula unit; energy of formation from the pure elements = 0.263 eV/atom
1.0
-3.260 -0.394 1.977
-1.134 -2.749 -2.418
2.978 -4.721 3.970
Pa Hg Ce
2 1 1
direct
0.000 0.000 0.743
0.000 0.000 0.257
0.500 0.500 0.000
0.500 0.500 0.500

***

[7]
FeTe4Pd, optimized geometry, DFT PBE-GGA; theoretical density = 7.59 g/cm³; E_form (uncorrected) = -0.1954 eV/atom; total DFT energy (no corrections) = -4.566 eV/atom; volume = 24.54 A^3/atom; total magnetization = 1.0 Bohr magnetons per cell
1.0
-0.446 -2.836 -2.606
4.266 1.968 -2.872
4.139 -4.074 3.724
Fe Te Pd
1 4 1
direct
0.000 0.000 0.000
0.000 0.750 0.682
0.500 0.249 0.855
0.500 0.751 0.145
0.000 0.250 0.318
0.500 0.000 0.500

***

[8]
NdTmZnGe, optimized geometry, DFT PBE-GGA; theoretical density = 8.10 g/cm³; total DFT energy (no corrections) = -4.288 eV/atom; volume = 23.12 A^3/atom; total magnetization = 0.0 Bohr magnetons per cell; energy of formation from the pure elements = -0.505 eV/atom
1.0
-5.074 -0.139 0.010
-2.511 -0.685 4.358
-2.640 3.827 2.037
Ge Tm Nd Zn
1 1 1 1
direct
0.500 0.500 0.500
0.750 0.750 0.750
0.250 0.250 0.250
0.000 0.000 0.000